--- 1 ---
VASP calculation (GGA-PBE) on an optimized crystal structure of PrMgSe2.

a = 4.001 Å, b = 4.001 Å, c = 7.447 Å
α = 74.42°, β = 74.42°, γ = 59.99°
Positions (direct):
Se  0.072  0.072  0.785
Pr  0.500  0.500  0.500
Se  0.260  0.260  0.219
Mg  0.668  0.668  0.996

Computed properties:
total magnetization: 0.9 μB per formula unit
space-group type: No. 160



--- 2 ---
VASP calculation (GGA-PBE) on an optimized crystal structure of PrMgSe2.

a = 3.989 Å, b = 3.989 Å, c = 7.409 Å
α = 74.38°, β = 74.38°, γ = 60.00°
Positions (direct):
Mg  0.000  0.000  0.000
Se  0.739  0.739  0.782
Se  0.261  0.261  0.218
Pr  0.500  0.500  0.500

Computed properties:
total magnetization: 0.0 μB per formula unit
space-group type: No. 166



Short version: 1 is the most stable of them.



--- 1 ---
VASP calculation (GGA-PBE) on an optimized crystal structure of Pr2MgSe.

a = 3.850 Å, b = 3.850 Å, c = 7.369 Å
α = 90.00°, β = 90.00°, γ = 90.00°
Positions (direct):
Mg  0.500  0.500  0.500
Pr  0.000  0.000  0.763
Se  0.500  0.500  0.000
Pr  0.000  0.000  0.237

Computed properties:
total magnetization: 0.0 μB per formula unit
space-group type: No. 123



--- 2 ---
VASP calculation (GGA-PBE) on an optimized crystal structure of Pr2MgSe.

a = 4.093 Å, b = 4.093 Å, c = 8.989 Å
α = 76.84°, β = 76.84°, γ = 60.00°
Positions (direct):
Se  0.667  0.667  0.998
Pr  0.068  0.068  0.795
Pr  0.265  0.265  0.206
Mg  0.500  0.500  0.501

Computed properties:
total magnetization: 0.0 μB per formula unit
space-group type: No. 160



Short version: 2 is the most stable of them.



--- 1 ---
VASP calculation (GGA-PBE) on an optimized crystal structure of Pr5Sm2Mg.

a = 7.355 Å, b = 7.354 Å, c = 6.903 Å
α = 105.38°, β = 105.38°, γ = 120.15°
Positions (direct):
Mg  0.819  0.735  0.000
Pr  0.331  0.750  0.000
Pr  0.327  0.228  0.000
Sm  0.744  0.333  0.520
Pr  0.736  0.820  0.500
Sm  0.224  0.812  0.480
Pr  0.236  0.320  0.500
Pr  0.807  0.226  0.000

Computed properties:
total magnetization: 0.0 μB per formula unit
space-group type: No. 8



--- 2 ---
VASP calculation (GGA-PBE) on an optimized crystal structure of Pr5Sm2Mg.

a = 7.278 Å, b = 7.278 Å, c = 7.242 Å
α = 120.15°, β = 120.15°, γ = 90.02°
Positions (direct):
Pr  0.722  0.722  0.944
Pr  0.222  0.222  0.944
Pr  0.222  0.722  0.944
Mg  0.222  0.222  0.444
Pr  0.722  0.222  0.944
Sm  0.222  0.722  0.444
Sm  0.722  0.222  0.444
Pr  0.722  0.722  0.444

Computed properties:
total magnetization: 0.0 μB per formula unit
space-group type: No. 139



Short version: 2 is the most stable of them.



--- 1 ---
VASP calculation (GGA-PBE) on an optimized crystal structure of Pr12Sm7Mg.

a = 8.917 Å, b = 8.917 Å, c = 8.917 Å
α = 88.13°, β = 88.13°, γ = 88.13°
Positions (direct):
Pr  0.861  0.507  0.385
Sm  0.147  0.389  0.072
Sm  0.928  0.853  0.611
Pr  0.493  0.615  0.139
Sm  0.611  0.928  0.853
Pr  0.267  0.137  0.745
Sm  0.389  0.072  0.147
Pr  0.745  0.267  0.137
Pr  0.615  0.139  0.493
Sm  0.853  0.611  0.928
Sm  0.072  0.147  0.389
Mg  0.000  0.000  0.000
Pr  0.863  0.255  0.733
Pr  0.733  0.863  0.255
Pr  0.507  0.385  0.861
Pr  0.139  0.493  0.615
Pr  0.385  0.861  0.507
Pr  0.137  0.745  0.267
Pr  0.255  0.733  0.863
Sm  0.500  0.500  0.500

Computed properties:
total magnetization: 0.0 μB per formula unit
space-group type: No. 148



--- 2 ---
VASP calculation (GGA-PBE) on an optimized crystal structure of Pr12Sm7Mg.

a = 10.142 Å, b = 10.142 Å, c = 10.142 Å
α = 109.47°, β = 109.47°, γ = 109.47°
Positions (direct):
Sm  0.500  0.000  0.000
Sm  0.000  0.500  0.000
Pr  0.001  0.247  0.753
Pr  0.753  0.506  0.753
Pr  0.999  0.753  0.247
Pr  0.753  0.001  0.247
Mg  0.000  0.000  0.000
Pr  0.753  0.247  0.999
Sm  0.000  0.500  0.500
Pr  0.506  0.753  0.753
Pr  0.247  0.999  0.753
Pr  0.247  0.247  0.494
Sm  0.500  0.500  0.000
Pr  0.753  0.753  0.506
Sm  0.000  0.000  0.500
Pr  0.494  0.247  0.247
Pr  0.247  0.753  0.001
Pr  0.247  0.494  0.247
Sm  0.500  0.500  0.500
Sm  0.500  0.000  0.500

Computed properties:
total magnetization: 0.0 μB per formula unit
space-group type: No. 204



Short version: 1 is the most stable of them.



--- 1 ---
VASP calculation (GGA-PBE) on an optimized crystal structure of Pr6Sm2Mg.

a = 5.199 Å, b = 10.911 Å, c = 10.909 Å
α = 90.00°, β = 90.00°, γ = 90.00°
Positions (direct):
Pr  0.000  0.001  0.169
Pr  0.000  0.664  0.837
Mg  0.000  0.000  0.500
Pr  0.000  0.336  0.163
Pr  0.500  0.831  0.001
Pr  0.500  0.164  0.663
Pr  0.000  0.669  0.501
Mg  0.500  0.500  0.000
Sm  0.000  0.333  0.832
Pr  0.500  0.501  0.331
Sm  0.500  0.167  0.332
Sm  0.000  0.667  0.168
Pr  0.500  0.836  0.337
Pr  0.500  0.169  0.999
Sm  0.500  0.833  0.668
Pr  0.000  0.999  0.831
Pr  0.000  0.331  0.499
Pr  0.500  0.499  0.669

Computed properties:
total magnetization: 0.0 μB per formula unit
space-group type: No. 136



--- 2 ---
VASP calculation (GGA-PBE) on an optimized crystal structure of Pr6Sm2Mg.

a = 6.255 Å, b = 11.767 Å, c = 11.767 Å
α = 48.12°, β = 105.53°, γ = 105.53°
Positions (direct):
Pr  0.082  0.082  0.582
Mg  0.250  0.248  0.752
Sm  0.449  0.170  0.330
Pr  0.582  0.582  0.082
Pr  0.927  0.153  0.003
Sm  0.949  0.330  0.170
Mg  0.750  0.752  0.248
Pr  0.418  0.418  0.918
Pr  0.275  0.496  0.348
Pr  0.573  0.997  0.847
Pr  0.073  0.847  0.997
Pr  0.918  0.918  0.418
Pr  0.427  0.003  0.153
Pr  0.225  0.652  0.504
Sm  0.551  0.830  0.670
Sm  0.051  0.670  0.830
Pr  0.725  0.504  0.652
Pr  0.775  0.348  0.496

Computed properties:
total magnetization: 0.0 μB per formula unit
space-group type: No. 15



Short version: 1 is the most stable of them.



--- 1 ---
VASP calculation (GGA-PBE) on an optimized crystal structure of Pr6Sm12Mg.

a = 8.838 Å, b = 8.838 Å, c = 8.838 Å
α = 97.38°, β = 97.38°, γ = 97.38°
Positions (direct):
Pr  0.865  0.865  0.593
Sm  0.416  0.416  0.830
Sm  0.830  0.416  0.416
Sm  0.262  0.000  0.738
Sm  0.000  0.262  0.738
Pr  0.865  0.593  0.865
Sm  0.262  0.738  0.000
Pr  0.135  0.135  0.407
Sm  0.738  0.000  0.262
Mg  0.000  0.000  0.000
Pr  0.135  0.407  0.135
Sm  0.584  0.170  0.584
Sm  0.416  0.830  0.416
Sm  0.584  0.584  0.170
Sm  0.738  0.262  0.000
Sm  0.000  0.738  0.262
Pr  0.407  0.135  0.135
Sm  0.170  0.584  0.584
Pr  0.593  0.865  0.865

Computed properties:
total magnetization: 0.0 μB per formula unit
space-group type: No. 166



--- 2 ---
VASP calculation (GGA-PBE) on an optimized crystal structure of Pr6Sm12Mg.

a = 8.693 Å, b = 8.693 Å, c = 8.693 Å
α = 89.08°, β = 89.08°, γ = 89.08°
Positions (direct):
Pr  0.737  0.905  0.298
Sm  0.565  0.219  0.464
Sm  0.983  0.816  0.638
Pr  0.905  0.298  0.737
Pr  0.702  0.263  0.095
Sm  0.781  0.536  0.435
Pr  0.263  0.095  0.702
Sm  0.464  0.565  0.219
Sm  0.017  0.184  0.362
Pr  0.298  0.737  0.905
Sm  0.362  0.017  0.184
Sm  0.184  0.362  0.017
Mg  0.000  0.000  0.000
Sm  0.435  0.781  0.536
Sm  0.536  0.435  0.781
Sm  0.816  0.638  0.983
Sm  0.219  0.464  0.565
Pr  0.095  0.702  0.263
Sm  0.638  0.983  0.816

Computed properties:
total magnetization: 0.0 μB per formula unit
space-group type: No. 148



Short version: 2 is the most stable of them.